Entry from Alexandria: a geometry-optimized CaEuZrCrO6 structure (GGA+U).

abc: 5.668 5.668 5.668
angles: 60.00 60.00 60.00
Last column: magnetic moment on the atom in μB.
Fractional positions:
Ca  0.250  0.250  0.250  0.01
Eu  0.750  0.750  0.750  6.57
Zr  0.500  0.500  0.500  0.02
Cr  0.000  0.000  0.000  2.60
O  0.242  0.758  0.242  -0.06
O  0.758  0.242  0.758  -0.06
O  0.242  0.758  0.758  -0.06
O  0.758  0.242  0.242  -0.06
O  0.242  0.242  0.758  -0.06
O  0.758  0.758  0.242  -0.06

Mass density ... 5.56 Mg/m³
Total DFT energy (no corrections) ... -8.495 eV per atom
Total magnetization ... 0.90 μB per atom